[1]
Compound: AcCuOs
Source: Alexandria
Functional: PBE-GGA
Structure: optimized geometry

a = 5.644 Å, b = 8.508 Å, c = 5.501 Å
α = 90.00°, β = 90.00°, γ = 90.00°
Space group Cmcm (No. 63)
Symmetry-distinct sites (fractional):
Ac (0.000, 0.147, 0.250) [4 per cell]
Cu (0.000, 0.239, 0.750) [4 per cell]
Os (0.000, 0.500, 0.000) [4 per cell]

Values from the calculation:
As for the crystal system: orthorhombic. As for the total energy: -6.120 eV/atom. Its formation energy is 358 meV/atom. The density of states at the Fermi level is 0.716 states/eV/atom.

[2]
Compound: PrNdDy3Th
Source: Alexandria
Functional: PBE-GGA
Structure: optimized geometry

a = 19.948 Å, b = 5.648 Å, c = 7.087 Å
α = 90.00°, β = 90.21°, γ = 90.00°
Space group C2/m (No. 12)
Symmetry-distinct sites (fractional):
Pr (0.146, 0.000, 0.461) [4 per cell]
Nd (0.148, 0.000, 0.037) [4 per cell]
Dy (0.023, 0.000, 0.752) [4 per cell]
Dy (0.157, 0.500, 0.753) [4 per cell]
Dy (0.221, 0.500, 0.252) [4 per cell]
Th (0.054, 0.500, 0.242) [4 per cell]

Values from the calculation:
As for the crystal system: monoclinic. As for the total energy: -4.914 eV/atom. Its formation energy is 215 meV/atom. The density of states at the Fermi level is 1.399 states/eV/atom.

[3]
Compound: RbScPaO6
Source: Alexandria
Functional: PBE-GGA
Structure: optimized geometry

a = 6.0625 Å, b = 6.0625 Å, c = 4.7725 Å
α = 90.00°, β = 90.00°, γ = 120.00°
Space group P312 (No. 149)
Symmetry-distinct sites (fractional):
Rb (0.0000, 0.0000, 0.0000) [1 per cell]
Sc (0.3333, 0.6667, 0.0000) [1 per cell]
Pa (0.6667, 0.3333, 0.5000) [1 per cell]
O (0.0024, 0.4383, 0.2411) [6 per cell]

Values from the calculation:
As for the crystal system: trigonal. The uncorrected formation energy comes out at -2259 meV per atom. As for the total energy: -7.431 eV/atom. The density of states at the Fermi level is 0.436 states/eV/atom.

[4]
Compound: Cu4Pd5
Source: Alexandria
Functional: PBE-GGA
Structure: optimized geometry

a = 3.757 Å, b = 8.185 Å, c = 8.204 Å
α = 90.00°, β = 90.00°, γ = 90.00°
Space group Immm (No. 71)
Symmetry-distinct sites (fractional):
Cu (0.000, 0.168, 0.168) [8 per cell]
Pd (0.000, 0.172, 0.500) [4 per cell]
Pd (0.000, 0.500, 0.173) [4 per cell]
Pd (0.000, 0.500, 0.500) [2 per cell]

Values from the calculation:
As for the crystal system: orthorhombic. As for the total energy: -4.791 eV/atom. Its formation energy is -85 meV/atom. The density of states at the Fermi level is 0.941 states/eV/atom.

[5]
Compound: DyNb2Pd9
Source: Alexandria
Functional: PBE-GGA
Structure: optimized geometry

a = 4.021 Å, b = 4.021 Å, c = 12.109 Å
α = 90.00°, β = 90.00°, γ = 90.00°
Space group P4/mmm (No. 123)
Symmetry-distinct sites (fractional):
Dy (0.000, 0.000, 0.000) [1 per cell]
Nb (0.000, 0.000, 0.334) [2 per cell]
Pd (0.000, 0.500, 0.178) [4 per cell]
Pd (0.000, 0.500, 0.500) [2 per cell]
Pd (0.500, 0.500, 0.000) [1 per cell]
Pd (0.500, 0.500, 0.339) [2 per cell]

Values from the calculation:
As for the crystal system: tetragonal. As for the total energy: -6.480 eV/atom. Its formation energy is -524 meV/atom. The density of states at the Fermi level is 0.738 states/eV/atom.

[6]
Compound: La2CdRh
Source: Alexandria
Functional: PBE-GGA
Structure: optimized geometry

a = 4.2020 Å, b = 4.2020 Å, c = 24.1650 Å
α = 90.00°, β = 90.00°, γ = 120.00°
Space group R3m (No. 160, hexagonal axes)
Symmetry-distinct sites (fractional):
La (0.0000, 0.0000, 0.0000) [3 per cell]
La (0.0000, 0.0000, 0.2036) [3 per cell]
Cd (0.0000, 0.0000, 0.4351) [3 per cell]
Rh (0.0000, 0.0000, 0.6004) [3 per cell]

Values from the calculation:
As for the crystal system: trigonal. As for the total energy: -5.029 eV/atom. Its formation energy is -499 meV/atom. The density of states at the Fermi level is 0.751 states/eV/atom.

[7]
Compound: PmHo6Sc6
Source: Alexandria
Functional: PBE-GGA
Structure: optimized geometry

a = 6.3989 Å, b = 6.3989 Å, c = 10.8870 Å
α = 90.00°, β = 90.00°, γ = 120.00°
Space group P6/mmm (No. 191)
Symmetry-distinct sites (fractional):
Pm (0.0000, 0.0000, 0.0000) [1 per cell]
Ho (0.0000, 0.0000, 0.3410) [2 per cell]
Ho (0.3333, 0.6667, 0.0000) [2 per cell]
Ho (0.3333, 0.6667, 0.5000) [2 per cell]
Sc (0.0000, 0.5000, 0.2424) [6 per cell]

Values from the calculation:
As for the crystal system: hexagonal. As for the total energy: -5.175 eV/atom. Its formation energy is 226 meV/atom. The density of states at the Fermi level is 2.147 states/eV/atom.

[8]
Compound: RbTa2Os
Source: Alexandria
Functional: PBE-GGA
Structure: optimized geometry

a = 6.707 Å, b = 6.707 Å, c = 6.707 Å
α = 90.00°, β = 90.00°, γ = 90.00°
Space group Fm-3m (No. 225)
Symmetry-distinct sites (fractional):
Rb (0.000, 0.000, 0.000) [4 per cell]
Ta (0.250, 0.250, 0.250) [8 per cell]
Os (0.000, 0.000, 0.500) [4 per cell]

Values from the calculation:
As for the crystal system: cubic. The energy above the most stable polymorph in this dataset comes out at 0.000 eV per atom. As for the total energy: -7.584 eV/atom. Its formation energy is 1392 meV/atom. The density of states at the Fermi level is 0.789 states/eV/atom.